Entry 1:
The following is a PBE-GGA calculation of a relaxed Li5Cd2Sn5 crystal, from Alexandria.

## Properties
Theoretical density in g/cm³: 5.13
Fermi-level density of states in states/eV/f.u.: 2.22
Magnetic moment in μB/f.u.: 0.00
Energy relative to the elements in eV/atom: -0.223

Unit cell a=4.5919 b=6.4048 c=10.9422 alpha=111.64 beta=90.00 gamma=111.01
Sites, in units of the cell vectors:
Li 0.5000 0.0000 0.5000
Li 0.6613 0.3225 0.0087
Li 0.5823 0.1645 0.2208
Li 0.4177 0.8355 0.7792
Li 0.3387 0.6775 0.9913
Cd 0.0792 0.1583 0.7689
Cd 0.9208 0.8417 0.2311
Sn 0.1800 0.3599 0.4263
Sn 0.7316 0.4631 0.7876
Sn 0.2684 0.5369 0.2124
Sn 0.8200 0.6401 0.5737
Sn 0.0000 0.0000 0.0000

***

Entry 2:
The following is a PBE-GGA calculation of a relaxed Li3Cd2Sn3 crystal, from Alexandria.

## Properties
Theoretical density in g/cm³: 5.78
Fermi-level density of states in states/eV/f.u.: 2.76
Magnetic moment in μB/f.u.: 0.00
Energy relative to the elements in eV/atom: -0.239

Unit cell a=4.4390 b=4.4513 c=9.3181 alpha=74.90 beta=77.02 gamma=89.34
Sites, in units of the cell vectors:
Li 0.3777 0.8735 0.2432
Li 0.5000 0.5000 0.0000
Li 0.6223 0.1265 0.7568
Cd 0.7439 0.7427 0.5064
Cd 0.2561 0.2573 0.4936
Sn 0.8727 0.3673 0.2532
Sn 0.1273 0.6327 0.7468
Sn 0.0000 0.0000 0.0000

***

Entry 3:
The following is a PBE-GGA calculation of a relaxed Li4Cd2Sn3 crystal, from Alexandria.

## Properties
Theoretical density in g/cm³: 5.37
Fermi-level density of states in states/eV/f.u.: 2.47
Magnetic moment in μB/f.u.: 0.00
Offset from the most stable computed form in meV per atom: 8
Energy relative to the elements in eV/atom: -0.248

Unit cell a=4.3111 b=6.9176 c=7.0012 alpha=107.62 beta=107.93 gamma=90.00
Sites, in units of the cell vectors:
Li 0.5467 0.3230 0.0933
Li 0.7806 0.6781 0.5613
Li 0.4533 0.6770 0.9067
Li 0.2194 0.3219 0.4387
Cd 0.3344 0.9971 0.6688
Cd 0.6656 0.0029 0.3312
Sn 0.8800 0.3500 0.7600
Sn 0.1200 0.6500 0.2400
Sn 0.0000 0.0000 0.0000

***

Entry 4:
The following is a PBE-GGA calculation of a relaxed LiCd14Sn crystal, from Alexandria.

## Properties
Theoretical density in g/cm³: 7.80
Fermi-level density of states in states/eV/f.u.: 6.96
Magnetic moment in μB/f.u.: 0.00
Energy relative to the elements in eV/atom: -0.018

Unit cell a=6.3788 b=6.3788 c=8.8958 alpha=90.00 beta=90.00 gamma=90.00
Sites, in units of the cell vectors:
Li 0.3750 0.3750 0.5000
Cd 0.8750 0.8750 0.0000
Cd 0.3750 0.3750 0.0000
Cd 0.8750 0.3750 0.5000
Cd 0.8750 0.3750 0.0000
Cd 0.3750 0.8750 0.5000
Cd 0.3750 0.8750 0.0000
Cd 0.6170 0.1330 0.2495
Cd 0.6170 0.1330 0.7505
Cd 0.1330 0.6170 0.2495
Cd 0.1330 0.6170 0.7505
Cd 0.6169 0.6169 0.2496
Cd 0.6169 0.6169 0.7504
Cd 0.1331 0.1331 0.2496
Cd 0.1331 0.1331 0.7504
Sn 0.8750 0.8750 0.5000

***

Entry 5:
The following is a PBE-GGA calculation of a relaxed Li5CdSn crystal, from Alexandria.

## Properties
Theoretical density in g/cm³: 3.41
Fermi-level density of states in states/eV/f.u.: 1.89
Magnetic moment in μB/f.u.: 0.00
Offset from the most stable computed form in meV per atom: 0
Energy relative to the elements in eV/atom: -0.238

Unit cell a=5.1224 b=5.1224 c=10.6769 alpha=102.57 beta=102.57 gamma=100.55
Sites, in units of the cell vectors:
Li 0.0216 0.5543 0.1499
Li 0.2345 0.5276 0.4501
Li 0.5543 0.0216 0.6499
Li 0.9153 0.0847 0.2500
Li 0.4724 0.7655 0.0499
Li 0.5276 0.2345 0.9501
Li 0.0847 0.9153 0.7500
Li 0.4457 0.9784 0.3501
Li 0.7655 0.4724 0.5499
Li 0.9784 0.4457 0.8501
Cd 0.0000 0.0000 0.0000
Cd 0.0000 0.0000 0.5000
Sn 0.5552 0.4448 0.2500
Sn 0.4448 0.5552 0.7500

***

Entry 6:
The following is a PBE-GGA calculation of a relaxed Li5Cd2Sn4 crystal, from Alexandria.

## Properties
Theoretical density in g/cm³: 5.34
Fermi-level density of states in states/eV/f.u.: 3.16
Magnetic moment in μB/f.u.: 0.00
Energy relative to the elements in eV/atom: -0.281

Unit cell a=3.2026 b=7.9787 c=17.8811 alpha=90.00 beta=90.00 gamma=90.00
Sites, in units of the cell vectors:
Li 0.0000 0.1242 0.5653
Li 0.0000 0.8758 0.4347
Li 0.0000 0.3758 0.0653
Li 0.0000 0.6242 0.9347
Li 0.0000 0.2024 0.7971
Li 0.0000 0.7976 0.2029
Li 0.0000 0.2976 0.2971
Li 0.0000 0.7024 0.7029
Li 0.0000 0.0000 0.0000
Li 0.0000 0.5000 0.5000
Cd 0.5000 0.0174 0.6938
Cd 0.5000 0.9826 0.3062
Cd 0.5000 0.4826 0.1938
Cd 0.5000 0.5174 0.8062
Sn 0.5000 0.2825 0.9335
Sn 0.5000 0.7175 0.0665
Sn 0.5000 0.2175 0.4335
Sn 0.5000 0.7825 0.5665
Sn 0.5000 0.3894 0.6485
Sn 0.5000 0.6106 0.3515
Sn 0.5000 0.1106 0.1485
Sn 0.5000 0.8894 0.8515

***

Entry 7:
The following is a PBE-GGA calculation of a relaxed Li8Cd3Sn2 crystal, from Alexandria.

## Properties
Theoretical density in g/cm³: 4.03
Fermi-level density of states in states/eV/f.u.: 7.68
Magnetic moment in μB/f.u.: 0.00
Energy relative to the elements in eV/atom: -0.121

Unit cell a=5.3985 b=5.3985 c=10.7611 alpha=75.47 beta=75.47 gamma=60.00
Sites, in units of the cell vectors:
Li 0.7235 0.7235 0.8295
Li 0.2765 0.2765 0.1705
Li 0.2247 0.7246 0.3260
Li 0.7246 0.2247 0.3260
Li 0.7246 0.7246 0.3260
Li 0.2754 0.7753 0.6740
Li 0.7753 0.2754 0.6740
Li 0.2754 0.2754 0.6740
Cd 0.0000 0.0000 0.0000
Cd 0.8148 0.8148 0.5557
Cd 0.1852 0.1852 0.4443
Sn 0.6352 0.6352 0.0943
Sn 0.3648 0.3648 0.9057

***

Entry 8:
The following is a PBE-GGA calculation of a relaxed LiCdSn4 crystal, from Alexandria.

## Properties
Theoretical density in g/cm³: 5.75
Fermi-level density of states in states/eV/f.u.: 6.28
Magnetic moment in μB/f.u.: 0.00
Offset from the most stable computed form in meV per atom: 169
Energy relative to the elements in eV/atom: 0.107

Unit cell a=6.2388 b=6.2388 c=6.2388 alpha=60.00 beta=60.00 gamma=60.00
Sites, in units of the cell vectors:
Li 0.0000 0.0000 0.0000
Sn 0.6250 0.6250 0.1251
Sn 0.6250 0.1251 0.6250
Sn 0.6250 0.6250 0.6250
Sn 0.1251 0.6250 0.6250
Cd 0.2500 0.2500 0.2500

***

Entry 9:
The following is a PBE-GGA calculation of a relaxed LiCd2Sn crystal, from Alexandria.

## Properties
Theoretical density in g/cm³: 6.51
Fermi-level density of states in states/eV/f.u.: 1.11
Magnetic moment in μB/f.u.: 0.00
Energy relative to the elements in eV/atom: -0.109

Unit cell a=3.6543 b=3.6543 c=6.6895 alpha=90.00 beta=90.00 gamma=90.00
Sites, in units of the cell vectors:
Li 0.5000 0.5000 0.0000
Sn 0.5000 0.5000 0.5000
Cd 0.0000 0.0000 0.7815
Cd 0.0000 0.0000 0.2185

***

Entry 10:
The following is a PBE-GGA calculation of a relaxed Li8CdSn2 crystal, from Alexandria.

## Properties
Theoretical density in g/cm³: 3.16
Fermi-level density of states in states/eV/f.u.: 3.02
Magnetic moment in μB/f.u.: 0.00
Offset from the most stable computed form in meV per atom: 0
Energy relative to the elements in eV/atom: -0.286

Unit cell a=4.7551 b=6.3751 c=8.0784 alpha=113.22 beta=107.12 gamma=90.00
Sites, in units of the cell vectors:
Li 0.3400 0.5712 0.6801
Li 0.6599 0.8912 0.3198
Li 0.8267 0.8265 0.6534
Li 0.0000 0.2786 0.0000
Li 0.1733 0.1735 0.3466
Li 0.3401 0.1088 0.6802
Li 0.6600 0.4288 0.3199
Li 0.0000 0.7214 0.0000
Cd 0.5000 0.0000 0.0000
Sn 0.8209 0.3206 0.6418
Sn 0.1791 0.6794 0.3582

***

Entry 11:
The following is a PBE-GGA calculation of a relaxed Li12Cd5Sn2 crystal, from Alexandria.

## Properties
Theoretical density in g/cm³: 4.00
Fermi-level density of states in states/eV/f.u.: 5.14
Magnetic moment in μB/f.u.: 0.00
Energy relative to the elements in eV/atom: -0.221

Unit cell a=7.8794 b=7.7680 c=6.9553 alpha=90.31 beta=90.00 gamma=120.48
Sites, in units of the cell vectors:
Li 0.9030 0.8060 0.1173
Li 0.0325 0.6839 0.7556
Li 0.6514 0.6839 0.7556
Li 0.1747 0.7510 0.3356
Li 0.5763 0.7510 0.3356
Li 0.4405 0.8809 0.6810
Li 0.5595 0.1191 0.3190
Li 0.8253 0.2490 0.6644
Li 0.4237 0.2490 0.6644
Li 0.9675 0.3161 0.2444
Li 0.3486 0.3161 0.2444
Li 0.0970 0.1940 0.8827
Cd 0.2393 0.4785 0.5619
Cd 0.2966 0.5932 0.0051
Cd 0.0000 0.0000 0.5000
Cd 0.7034 0.4068 0.9949
Cd 0.7607 0.5215 0.4381
Sn 0.6974 0.0000 0.0000
Sn 0.3026 0.0000 0.0000

***

Entry 12:
The following is a PBE-GGA calculation of a relaxed Li2CdSn3 crystal, from Alexandria.

## Properties
Theoretical density in g/cm³: 5.93
Fermi-level density of states in states/eV/f.u.: 1.84
Magnetic moment in μB/f.u.: 0.00
Energy relative to the elements in eV/atom: -0.199

Unit cell a=4.5515 b=8.4166 c=8.4166 alpha=108.01 beta=106.12 gamma=106.12
Sites, in units of the cell vectors:
Li 0.2500 0.0874 0.9126
Li 0.2500 0.7366 0.2634
Li 0.7500 0.9126 0.0874
Li 0.7500 0.2634 0.7366
Cd 0.2500 0.4189 0.5811
Cd 0.7500 0.5811 0.4189
Sn 0.5190 0.8555 0.6836
Sn 0.0190 0.6836 0.8555
Sn 0.5000 0.5000 0.0000
Sn 0.4810 0.1445 0.3164
Sn 0.0000 0.0000 0.5000
Sn 0.9810 0.3164 0.1445

***

Entry 13:
The following is a PBE-GGA calculation of a relaxed Li5Cd4Sn crystal, from Alexandria.

## Properties
Theoretical density in g/cm³: 5.37
Fermi-level density of states in states/eV/f.u.: 2.24
Magnetic moment in μB/f.u.: 0.00
Energy relative to the elements in eV/atom: -0.279

Unit cell a=3.4124 b=3.4124 c=16.0241 alpha=90.00 beta=90.00 gamma=90.00
Sites, in units of the cell vectors:
Li 0.5000 0.5000 0.1036
Li 0.5000 0.5000 0.3023
Li 0.5000 0.5000 0.5000
Li 0.5000 0.5000 0.6977
Li 0.5000 0.5000 0.8964
Cd 0.0000 0.0000 0.2053
Cd 0.0000 0.0000 0.4017
Cd 0.0000 0.0000 0.5983
Cd 0.0000 0.0000 0.7947
Sn 0.0000 0.0000 0.0000

***

Entry 14:
The following is a PBE-GGA calculation of a relaxed Li2CdSn crystal, from Alexandria.

## Properties
Theoretical density in g/cm³: 4.49
Fermi-level density of states in states/eV/f.u.: 1.44
Magnetic moment in μB/f.u.: 0.00
Energy relative to the elements in eV/atom: -0.108

Unit cell a=3.2072 b=3.2072 c=10.3434 alpha=81.08 beta=81.08 gamma=60.00
Sites, in units of the cell vectors:
Li 0.0918 0.0918 0.7245
Li 0.9082 0.9082 0.2755
Sn 0.5000 0.5000 0.5000
Cd 0.0000 0.0000 0.0000

***

Entry 15:
The following is a PBE-GGA calculation of a relaxed Li3Cd3Sn2 crystal, from Alexandria.

## Properties
Theoretical density in g/cm³: 5.56
Fermi-level density of states in states/eV/f.u.: 2.28
Magnetic moment in μB/f.u.: 0.00
Offset from the most stable computed form in meV per atom: 44
Energy relative to the elements in eV/atom: -0.175

Unit cell a=4.7112 b=5.7009 c=14.5393 alpha=90.00 beta=90.00 gamma=114.41
Sites, in units of the cell vectors:
Li 0.9104 0.8209 0.4198
Li 0.0896 0.1791 0.9198
Li 0.9104 0.8209 0.0802
Li 0.0896 0.1791 0.5802
Li 0.7404 0.4809 0.2500
Li 0.2596 0.5191 0.7500
Cd 0.6027 0.2053 0.4368
Cd 0.3973 0.7947 0.9368
Cd 0.6027 0.2053 0.0632
Cd 0.3973 0.7947 0.5632
Cd 0.4715 0.9430 0.2500
Cd 0.5285 0.0570 0.7500
Sn 0.7663 0.5325 0.8682
Sn 0.2337 0.4675 0.3682
Sn 0.7663 0.5325 0.6318
Sn 0.2337 0.4675 0.1318

***

Entry 16:
The following is a PBE-GGA calculation of a relaxed Li2Cd8Sn crystal, from Alexandria.

## Properties
Theoretical density in g/cm³: 6.99
Fermi-level density of states in states/eV/f.u.: 2.85
Magnetic moment in μB/f.u.: 0.00
Offset from the most stable computed form in meV per atom: 0
Energy relative to the elements in eV/atom: -0.080

Unit cell a=3.1593 b=8.6676 c=10.3602 alpha=64.77 beta=81.64 gamma=100.00
Sites, in units of the cell vectors:
Li 0.1743 0.2702 0.3829
Li 0.8262 0.7302 0.5565
Cd 0.9432 0.5733 0.1405
Cd 0.4171 0.9932 0.6196
Cd 0.3866 0.6583 0.3454
Cd 0.3308 0.2924 0.0845
Cd 0.6144 0.3432 0.5932
Cd 0.5837 0.0077 0.3200
Cd 0.0572 0.4268 0.7989
Cd 0.6703 0.7078 0.8547
Sn 0.9910 0.9997 0.9706

***

Entry 17:
The following is a PBE-GGA calculation of a relaxed Li7Cd3Sn crystal, from Alexandria.

## Properties
Theoretical density in g/cm³: 3.82
Fermi-level density of states in states/eV/f.u.: 3.53
Magnetic moment in μB/f.u.: 0.00
Energy relative to the elements in eV/atom: -0.201

Unit cell a=3.1042 b=9.7963 c=14.6081 alpha=90.00 beta=90.00 gamma=99.12
Sites, in units of the cell vectors:
Li 0.3473 0.6946 0.7500
Li 0.6527 0.3054 0.2500
Li 0.5669 0.1339 0.4155
Li 0.4331 0.8661 0.5845
Li 0.4331 0.8661 0.9155
Li 0.5669 0.1339 0.0845
Li 0.4260 0.8520 0.3464
Li 0.5740 0.1480 0.6536
Li 0.2355 0.4709 0.3779
Li 0.7645 0.5291 0.6221
Li 0.7645 0.5291 0.8779
Li 0.2355 0.4709 0.1221
Li 0.4260 0.8520 0.1536
Li 0.5740 0.1480 0.8464
Cd 0.1584 0.3167 0.5350
Cd 0.8416 0.6833 0.4650
Cd 0.1881 0.3762 0.7500
Cd 0.8119 0.6238 0.2500
Cd 0.1584 0.3167 0.9650
Cd 0.8416 0.6833 0.0350
Sn 0.0299 0.0599 0.2500
Sn 0.9701 0.9401 0.7500

***

Entry 18:
The following is a PBE-GGA calculation of a relaxed Li6CdSn crystal, from Alexandria.

## Properties
Theoretical density in g/cm³: 3.13
Fermi-level density of states in states/eV/f.u.: 2.12
Magnetic moment in μB/f.u.: 0.00
Offset from the most stable computed form in meV per atom: 31
Energy relative to the elements in eV/atom: -0.258

Unit cell a=4.7482 b=5.7496 c=5.7496 alpha=112.62 beta=90.00 gamma=90.00
Sites, in units of the cell vectors:
Li 0.0000 0.1043 0.3793
Li 0.0000 0.6207 0.8957
Li 0.0000 0.5843 0.4157
Li 0.5000 0.4021 0.1201
Li 0.5000 0.8799 0.5979
Li 0.5000 0.9039 0.0961
Cd 0.0000 0.1212 0.8788
Sn 0.5000 0.3832 0.6168

***

Entry 19:
The following is a PBE-GGA calculation of a relaxed Li5CdSn crystal, from Alexandria.

## Properties
Theoretical density in g/cm³: 3.09
Fermi-level density of states in states/eV/f.u.: 3.38
Magnetic moment in μB/f.u.: 0.00
Offset from the most stable computed form in meV per atom: 46
Energy relative to the elements in eV/atom: -0.192

Unit cell a=4.5037 b=4.5037 c=7.0430 alpha=90.00 beta=90.00 gamma=89.92
Sites, in units of the cell vectors:
Li 0.5000 0.0000 0.2528
Li 0.0000 0.5000 0.2528
Li 0.0000 0.0000 0.5000
Li 0.0000 0.5000 0.7472
Li 0.5000 0.0000 0.7472
Cd 0.0000 0.0000 0.0000
Sn 0.5000 0.5000 0.5000

***

Entry 20:
The following is a PBE-GGA calculation of a relaxed Li2Cd4Sn crystal, from Alexandria.

## Properties
Theoretical density in g/cm³: 5.80
Fermi-level density of states in states/eV/f.u.: 2.96
Magnetic moment in μB/f.u.: 0.00
Offset from the most stable computed form in meV per atom: 104
Energy relative to the elements in eV/atom: -0.036

Unit cell a=4.0820 b=4.0820 c=10.4055 alpha=101.31 beta=101.31 gamma=90.00
Sites, in units of the cell vectors:
Li 0.5807 0.5807 0.1613
Li 0.4193 0.4193 0.8387
Cd 0.1419 0.1419 0.2838
Cd 0.8581 0.8581 0.7162
Cd 0.7500 0.2500 0.5000
Cd 0.2500 0.7500 0.5000
Sn 0.0000 0.0000 0.0000

***

Entry 21:
The following is a PBE-GGA calculation of a relaxed Li2Cd7Sn2 crystal, from Alexandria.

## Properties
Theoretical density in g/cm³: 6.75
Fermi-level density of states in states/eV/f.u.: 2.85
Magnetic moment in μB/f.u.: 0.00
Energy relative to the elements in eV/atom: -0.068

Unit cell a=7.3068 b=5.9634 c=5.9634 alpha=100.68 beta=90.06 gamma=90.06
Sites, in units of the cell vectors:
Li 0.0000 0.2834 0.7166
Li 0.0000 0.7166 0.2834
Cd 0.6990 0.9993 0.4997
Cd 0.3010 0.5003 0.0007
Cd 0.3010 0.0007 0.5003
Cd 0.6990 0.4997 0.9993
Cd 0.5000 0.0000 0.0000
Cd 0.0001 0.8088 0.8088
Cd 0.9999 0.1912 0.1912
Sn 0.2928 0.5006 0.5006
Sn 0.7072 0.4994 0.4994